Material: Dy2Ag3BiS6
Method: DFT, PBE
State: relaxed

```
data_Dy2Ag3BiS6
_space_group_name_H-M_alt 'C 1 2/m 1'
_space_group_IT_number 12
_space_group_name_Hall '-C 2y'
_cell_length_a 17.147
_cell_length_b 4.025
_cell_length_c 7.745
_cell_angle_alpha 90.00
_cell_angle_beta 99.91
_cell_angle_gamma 90.00
loop_
_atom_site_label
_atom_site_fract_x
_atom_site_fract_y
_atom_site_fract_z
Dy1 0.168 0.000 0.328
Ag1 0.000 0.500 0.500
Ag2 0.173 0.000 0.814
Bi1 0.000 0.500 0.000
S1 0.003 0.000 0.259
S2 0.167 0.500 0.083
S3 0.170 0.500 0.573
```

Summary:
Electronic total energy = -115.1 eV/cell
Mass density = 6.622 g/cm³